i) # AcNdPb

A relaxed structure of AcNdPb (GGA-PBE, Alexandria via LeMat-Bulk).

Values from the calculation:
The calculated volume is 37.69 Å³/atom. The value obtained for the theoretical density is 8.5 g cm⁻³. The calculation puts the total magnetization at 0.0 μB per formula unit.

```
data_AcNdPb
_cell_length_a 5.3989
_cell_length_b 5.3989
_cell_length_c 4.4789
_cell_angle_alpha 90.00
_cell_angle_beta 90.00
_cell_angle_gamma 120.00
_space_group_name_H-M_alt 'P -6 m 2'
_space_group_IT_number 187
_space_group_name_Hall 'P -6 2'
loop_
_atom_site_label
_atom_site_fract_x
_atom_site_fract_y
_atom_site_fract_z
_atom_site_occupancy
Ac1 0.0000 0.0000 0.0000 1
Nd1 0.6667 0.3333 0.5000 1
Pb1 0.3333 0.6667 0.5000 1
```

***

ii) # AcNdPb

A relaxed structure of AcNdPb (GGA-PBE, Alexandria via LeMat-Bulk).

Values from the calculation:
The calculated volume is 43.73 Å³/atom. The value obtained for the theoretical density is 7.3 g cm⁻³. The calculation puts the total magnetization at 0.0 μB per formula unit.

```
data_AcNdPb
_cell_length_a 4.4583
_cell_length_b 4.4583
_cell_length_c 6.6001
_cell_angle_alpha 90.00
_cell_angle_beta 90.00
_cell_angle_gamma 90.00
_space_group_name_H-M_alt 'P 4/m m m'
_space_group_IT_number 123
_space_group_name_Hall '-P 4 2'
loop_
_atom_site_label
_atom_site_fract_x
_atom_site_fract_y
_atom_site_fract_z
_atom_site_occupancy
Ac1 0.0000 0.0000 0.0000 1
Nd1 0.5000 0.5000 0.5000 1
Pb1 0.0000 0.0000 0.5000 1
```

***

Computed energies relative to the best structure, in eV/atom: i) 0.000; ii) 0.124

***

i) # Ac3NdPb2

A relaxed structure of Ac3NdPb2 (GGA-PBE, Alexandria via LeMat-Bulk).

Values from the calculation:
The calculated volume is 43.25 Å³/atom. The value obtained for the theoretical density is 7.9 g cm⁻³. The calculation puts the total magnetization at 0.0 μB per formula unit.

```
data_Ac3NdPb2
_cell_length_a 7.7358
_cell_length_b 15.7566
_cell_length_c 8.5149
_cell_angle_alpha 90.00
_cell_angle_beta 90.00
_cell_angle_gamma 90.00
_space_group_name_H-M_alt 'I b a m'
_space_group_IT_number 72
_space_group_name_Hall '-I 2 2c'
loop_
_atom_site_label
_atom_site_fract_x
_atom_site_fract_y
_atom_site_fract_z
_atom_site_occupancy
Ac1 0.0000 0.0000 0.2500 1
Ac2 0.0000 0.2915 0.2500 1
Nd1 0.0000 0.5000 0.0000 1
Pb1 0.1835 0.1407 0.0000 1
```

***

ii) # Ac3NdPb2

A relaxed structure of Ac3NdPb2 (GGA-PBE, Alexandria via LeMat-Bulk).

Values from the calculation:
The calculated volume is 38.19 Å³/atom. The value obtained for the theoretical density is 9.0 g cm⁻³. The calculation puts the total magnetization at 0.0 μB per formula unit.

```
data_Ac3NdPb2
_cell_length_a 4.9670
_cell_length_b 4.9670
_cell_length_c 9.2873
_cell_angle_alpha 90.00
_cell_angle_beta 90.00
_cell_angle_gamma 90.00
_space_group_name_H-M_alt 'P -4 m 2'
_space_group_IT_number 115
_space_group_name_Hall 'P -4 -2'
loop_
_atom_site_label
_atom_site_fract_x
_atom_site_fract_y
_atom_site_fract_z
_atom_site_occupancy
Ac1 0.0000 0.0000 0.0000 1
Ac2 0.0000 0.5000 0.6506 1
Nd1 0.5000 0.5000 0.0000 1
Pb1 0.0000 0.5000 0.2754 1
```

***

Computed energies relative to the best structure, in eV/atom: i) 0.203; ii) 0.000

***

i) # Ac3Nd2Pb3

A relaxed structure of Ac3Nd2Pb3 (GGA-PBE, Alexandria via LeMat-Bulk).

Values from the calculation:
The calculated volume is 35.65 Å³/atom. The value obtained for the theoretical density is 9.3 g cm⁻³. The calculation puts the total magnetization at 0.0 μB per formula unit.

```
data_Ac3Nd2Pb3
_cell_length_a 4.5975
_cell_length_b 5.3431
_cell_length_c 23.2190
_cell_angle_alpha 90.00
_cell_angle_beta 90.00
_cell_angle_gamma 90.00
_space_group_name_H-M_alt 'I m m m'
_space_group_IT_number 71
_space_group_name_Hall '-I 2 2'
loop_
_atom_site_label
_atom_site_fract_x
_atom_site_fract_y
_atom_site_fract_z
_atom_site_occupancy
Ac1 0.0000 0.0000 0.0000 1
Ac2 0.0000 0.5000 0.1206 1
Nd1 0.0000 0.0000 0.2437 1
Pb1 0.0000 0.0000 0.5000 1
Pb2 0.0000 0.5000 0.3601 1
```

***

ii) # Ac3Nd2Pb3

A relaxed structure of Ac3Nd2Pb3 (GGA-PBE, Alexandria via LeMat-Bulk).

Values from the calculation:
The calculated volume is 36.68 Å³/atom. The value obtained for the theoretical density is 9.0 g cm⁻³. The calculation puts the total magnetization at 0.0 μB per formula unit.

```
data_Ac3Nd2Pb3
_cell_length_a 9.8058
_cell_length_b 9.8058
_cell_length_c 7.0478
_cell_angle_alpha 90.00
_cell_angle_beta 90.00
_cell_angle_gamma 120.00
_space_group_name_H-M_alt 'P 63/m c m'
_space_group_IT_number 193
_space_group_name_Hall '-P 6c 2'
loop_
_atom_site_label
_atom_site_fract_x
_atom_site_fract_y
_atom_site_fract_z
_atom_site_occupancy
Ac1 0.0000 0.2452 0.2500 1
Nd1 0.3333 0.6667 0.0000 1
Pb1 0.0000 0.3991 0.7500 1
```

***

Computed energies relative to the best structure, in eV/atom: i) 0.121; ii) 0.000

***

i) # AcNdSnPb

A relaxed structure of AcNdSnPb (GGA-PBE, Alexandria via LeMat-Bulk).

Values from the calculation:
The calculated volume is 32.86 Å³/atom. The value obtained for the theoretical density is 8.8 g cm⁻³. The calculation puts the total magnetization at 0.0 μB per formula unit.

```
data_AcNdSnPb
_cell_length_a 8.0714
_cell_length_b 8.0714
_cell_length_c 8.0714
_cell_angle_alpha 90.00
_cell_angle_beta 90.00
_cell_angle_gamma 90.00
_space_group_name_H-M_alt 'F -4 3 m'
_space_group_IT_number 216
_space_group_name_Hall 'F -4 2 3'
loop_
_atom_site_label
_atom_site_fract_x
_atom_site_fract_y
_atom_site_fract_z
_atom_site_occupancy
Ac1 0.0000 0.0000 0.0000 1
Nd1 0.0000 0.0000 0.5000 1
Sn1 0.2500 0.2500 0.7500 1
Pb1 0.2500 0.2500 0.2500 1
```

***

ii) # AcNdSnPb

A relaxed structure of AcNdSnPb (GGA-PBE, Alexandria via LeMat-Bulk).

Values from the calculation:
The calculated volume is 33.89 Å³/atom. The value obtained for the theoretical density is 8.5 g cm⁻³. The calculation puts the total magnetization at 0.0 μB per formula unit.

```
data_AcNdSnPb
_cell_length_a 4.5684
_cell_length_b 4.8526
_cell_length_c 12.2310
_cell_angle_alpha 90.00
_cell_angle_beta 90.00
_cell_angle_gamma 90.00
_space_group_name_H-M_alt 'A m m 2'
_space_group_IT_number 38
_space_group_name_Hall 'A 2 -2'
loop_
_atom_site_label
_atom_site_fract_x
_atom_site_fract_y
_atom_site_fract_z
_atom_site_occupancy
Ac1 0.0000 0.0000 0.0000 1
Nd1 0.5000 0.0000 0.7297 1
Sn1 0.5000 0.0000 0.4514 1
Pb1 0.0000 0.0000 0.2724 1
```

***

Computed energies relative to the best structure, in eV/atom: i) 0.128; ii) 0.000